1.
Ti8Co2Ni | PBE | relaxed

Lattice parameters (Å, degrees): 6.846 6.846 4.640 101.60 101.60 119.68
Element x y z (fractional)
1 Ti 0.103 0.339 0.584
2 Ti 0.219 0.781 0.000
3 Ti 0.339 0.103 0.584
4 Ti 0.382 0.382 0.181
5 Ti 0.618 0.618 0.819
6 Ti 0.661 0.897 0.416
7 Ti 0.781 0.219 0.000
8 Ti 0.897 0.661 0.416
9 Co 0.294 0.706 0.500
10 Co 0.706 0.294 0.500
11 Ni 0.000 0.000 0.000

uncorrected energy: -84.03 eV/f.u.
calculated formation energy: -0.9 eV/f.u.
spin magnetization: 0.00 μB per atom

2.
CaInGe | PBE | relaxed

Lattice parameters (Å, degrees): 6.058 6.058 7.366 122.59 122.59 42.80
Element x y z (fractional)
1 Ca 0.069 0.069 0.326
2 Ca 0.931 0.931 0.674
3 In 0.334 0.334 0.922
4 In 0.666 0.666 0.078
5 Ge 0.347 0.347 0.324
6 Ge 0.653 0.653 0.676

uncorrected energy: -10.67 eV/f.u.
calculated formation energy: -1.3 eV/f.u.
spin magnetization: 0.00 μB per atom

3.
Ta2AlTl | PBE | relaxed

Lattice parameters (Å, degrees): 2.964 4.657 5.510 90.00 98.10 90.00
Element x y z (fractional)
1 Ta 0.000 0.000 0.000
2 Ta 0.190 0.500 0.731
3 Al 0.571 0.000 0.536
4 Tl 0.582 0.500 0.240

uncorrected energy: -28.83 eV/f.u.
calculated formation energy: 1.0 eV/f.u.
spin magnetization: 0.00 μB per atom

4.
PuAl2Br8 | PBE | relaxed

Lattice parameters (Å, degrees): 8.386 8.386 6.757 96.90 96.90 74.03
Element x y z (fractional)
1 Pu 0.000 0.000 0.000
2 Al 0.201 0.201 0.656
3 Al 0.799 0.799 0.344
4 Br 0.073 0.703 0.247
5 Br 0.192 0.192 0.304
6 Br 0.297 0.927 0.753
7 Br 0.366 0.366 0.798
8 Br 0.634 0.634 0.202
9 Br 0.703 0.073 0.247
10 Br 0.808 0.808 0.696
11 Br 0.927 0.297 0.753

formation energy without anion corrections: -1.183 eV per atom
uncorrected energy: -48.21 eV/f.u.
ΔE to the lowest computed polymorph: 2.09 kJ per mole of atoms
spin magnetization: 0.55 μB per atom

5.
Tm2O3 | PBE | relaxed

Lattice parameters (Å, degrees): 3.608 3.608 5.803 90.00 90.00 120.00
Element x y z (fractional)
1 Tm 0.333 0.667 0.250
2 Tm 0.667 0.333 0.750
3 O 0.000 0.000 0.000
4 O 0.333 0.667 0.646
5 O 0.667 0.333 0.354

formation energy without anion corrections: -3.595 eV per atom
uncorrected energy: -41.79 eV/f.u.
spin magnetization: 0.00 μB per atom

6.
CsHoMgI6 | PBE | relaxed

Lattice parameters (Å, degrees): 7.736 7.736 8.787 90.00 90.00 120.00
Element x y z (fractional)
1 Cs 0.000 0.000 0.000
2 Ho 0.333 0.667 0.500
3 Mg 0.667 0.333 0.500
4 I 0.374 0.007 0.697
5 I 0.374 0.367 0.303
6 I 0.633 0.007 0.303
7 I 0.633 0.626 0.697
8 I 0.993 0.367 0.697
9 I 0.993 0.626 0.303

formation energy without anion corrections: -1.314 eV per atom
uncorrected energy: -28.15 eV/f.u.
spin magnetization: 0.00 μB per atom

7.
PuGePt | PBE | relaxed

Lattice parameters (Å, degrees): 5.920 5.920 5.920 147.68 147.68 46.36
Element x y z (fractional)
1 Pu 0.000 0.000 0.000
2 Ge 0.304 0.304 0.000
3 Pt 0.689 0.689 0.000

uncorrected energy: -26.45 eV/f.u.
calculated formation energy: -1.5 eV/f.u.
spin magnetization: 1.82 μB per atom

8.
Ac2Pm3Nd5 | PBE | relaxed

Lattice parameters (Å, degrees): 9.298 9.298 10.149 99.94 99.94 113.71
Element x y z (fractional)
1 Ac 0.144 0.356 0.000
2 Ac 0.356 0.144 0.500
3 Ac 0.644 0.856 0.500
4 Ac 0.856 0.644 0.000
5 Pm 0.033 0.277 0.595
6 Pm 0.250 0.750 0.750
7 Pm 0.277 0.033 0.095
8 Pm 0.723 0.967 0.905
9 Pm 0.750 0.250 0.250
10 Pm 0.967 0.723 0.405
11 Nd 0.036 0.964 0.750
12 Nd 0.223 0.469 0.404
13 Nd 0.249 0.751 0.250
14 Nd 0.463 0.537 0.750
15 Nd 0.469 0.223 0.904
16 Nd 0.531 0.777 0.096
17 Nd 0.537 0.463 0.250
18 Nd 0.751 0.249 0.750
19 Nd 0.777 0.531 0.596
20 Nd 0.964 0.036 0.250

uncorrected energy: -44.43 eV/f.u.
calculated formation energy: 1.9 eV/f.u.
spin magnetization: 0.00 μB per atom

9.
YSbAs2 | PBE | relaxed

Lattice parameters (Å, degrees): 4.894 4.894 3.812 90.00 90.00 90.00
Element x y z (fractional)
1 Y 0.000 0.000 0.000
2 Sb 0.500 0.500 0.000
3 As 0.000 0.500 0.500
4 As 0.500 0.000 0.500

formation energy without anion corrections: -0.501 eV per atom
uncorrected energy: -21.89 eV/f.u.
spin magnetization: 0.00 μB per atom

10.
TiIn2Se4 | PBE | relaxed

Lattice parameters (Å, degrees): 7.973 7.973 7.973 142.82 142.82 53.60
Element x y z (fractional)
1 Ti 0.000 0.000 0.000
2 In 0.369 0.369 0.000
3 In 0.631 0.631 0.000
4 Se 0.000 0.500 0.500
5 Se 0.177 0.177 0.000
6 Se 0.500 0.000 0.500
7 Se 0.823 0.823 0.000

formation energy without anion corrections: -0.397 eV per atom
uncorrected energy: -30.09 eV/f.u.
ΔE to the lowest computed polymorph: 7.07 kJ per mole of atoms
spin magnetization: 0.00 μB per atom

11.
NdSmZnGe | PBE | relaxed

Lattice parameters (Å, degrees): 4.179 6.014 6.014 42.18 90.00 90.00
Element x y z (fractional)
1 Nd 0.000 0.000 0.000
2 Sm 0.500 0.283 0.283
3 Zn 0.500 0.574 0.574
4 Ge 0.000 0.718 0.718

uncorrected energy: -17.73 eV/f.u.
ΔE to the lowest computed polymorph: 0.00 kJ per mole of atoms
calculated formation energy: -2.4 eV/f.u.
spin magnetization: 0.11 μB per atom

12.
LuInCuHg | PBE | relaxed

Lattice parameters (Å, degrees): 4.894 4.894 4.894 60.00 60.00 60.00
Element x y z (fractional)
1 Lu 0.000 0.000 0.000
2 In 0.500 0.500 0.500
3 Cu 0.250 0.250 0.250
4 Hg 0.750 0.750 0.750

uncorrected energy: -12.54 eV/f.u.
calculated formation energy: -0.9 eV/f.u.
spin magnetization: 0.00 μB per atom